# 1
Below is crystalline Tm5Zn2Pd12 at its relaxed geometry, with properties calculated at the PBE level.

total magnetization	0.00	μB/f.u.
DFT formation energy	-704.8	meV per atom
total DFT energy (no corrections)	-5.295	eV/atom

abc: 13.417 7.207 7.467
angles: 90.00 101.97 90.00
Space group C2/m (No. 12)
One atom of each set of equivalent atoms:
Tm 0.000 0.000 0.000 [2 per cell]
Tm 0.194 0.500 0.976 [4 per cell]
Tm 0.218 0.500 0.477 [4 per cell]
Zn 0.000 0.322 0.500 [4 per cell]
Pd 0.022 0.500 0.199 [4 per cell]
Pd 0.065 0.000 0.394 [4 per cell]
Pd 0.128 0.188 0.764 [8 per cell]
Pd 0.172 0.207 0.205 [8 per cell]

# 2
Below is crystalline Tm3CuS6 at its relaxed geometry, with properties calculated at the PBE level.

total magnetization	0.00	μB/f.u.
total DFT energy (no corrections)	-5.690	eV/atom
raw formation energy	-1.463	eV per atom

abc: 10.614 12.433 6.528
angles: 90.00 90.00 90.00
Space group Cmc2_1 (No. 36)
One atom of each set of equivalent atoms:
Tm 0.000 0.104 0.000 [4 per cell]
Tm 0.182 0.401 0.911 [8 per cell]
Cu 0.000 0.296 0.368 [4 per cell]
S 0.000 0.285 0.717 [4 per cell]
S 0.000 0.462 0.210 [4 per cell]
S 0.161 0.032 0.704 [8 per cell]
S 0.170 0.237 0.194 [8 per cell]

# 3
Below is crystalline Sc8Te4CSe3 at its relaxed geometry, with properties calculated at the PBE level.

total magnetization	0.00	μB/f.u.
total DFT energy (no corrections)	-6.448	eV/atom
raw formation energy	-1.267	eV per atom

abc: 7.8294 7.8294 19.8852
angles: 90.00 90.00 120.00
Space group R-3m (No. 166, hexagonal axes)
One atom of each set of equivalent atoms:
Sc 0.0000 0.0000 0.2385 [6 per cell]
Sc 0.0429 0.5214 0.2319 [18 per cell]
Te 0.0000 0.0000 0.0000 [3 per cell]
Te 0.0000 0.5000 0.0000 [9 per cell]
C 0.0000 0.0000 0.5000 [3 per cell]
Se 0.0000 0.5000 0.5000 [9 per cell]

# 4
Below is crystalline UCdRu at its relaxed geometry, with properties calculated at the PBE level.

total magnetization	1.73	μB/f.u.
DFT formation energy	-43.1	meV per atom
total DFT energy (no corrections)	-7.203	eV/atom

abc: 2.936 5.200 8.261
angles: 82.63 83.66 73.90
Space group P-1 (No. 2)
One atom of each set of equivalent atoms:
U 0.189 0.173 0.323 [2 per cell]
Cd 0.190 0.730 0.071 [2 per cell]
Ru 0.344 0.315 0.621 [2 per cell]

# 5
Below is crystalline PuAl2Te6 at its relaxed geometry, with properties calculated at the PBE level.

total magnetization	4.02	μB/f.u.
total DFT energy (no corrections)	-4.886	eV/atom
raw formation energy	-0.367	eV per atom

abc: 13.523 12.791 7.813
angles: 90.00 105.49 90.00
Space group C2/c (No. 15)
One atom of each set of equivalent atoms:
Pu 0.000 0.096 0.250 [4 per cell]
Al 0.183 0.411 0.306 [8 per cell]
Te 0.092 0.431 0.582 [8 per cell]
Te 0.119 0.081 0.638 [8 per cell]
Te 0.174 0.221 0.184 [8 per cell]

# 6
Below is crystalline Pm2Nd4Ho2Er at its relaxed geometry, with properties calculated at the PBE level.

total magnetization	0.00	μB/f.u.
DFT formation energy	20.9	meV per atom
total DFT energy (no corrections)	-4.678	eV/atom

abc: 15.397 5.131 8.070
angles: 90.00 108.59 90.00
Space group C2/m (No. 12)
One atom of each set of equivalent atoms:
Pm 0.112 0.000 0.170 [4 per cell]
Nd 0.055 0.500 0.830 [4 per cell]
Nd 0.222 0.000 0.830 [4 per cell]
Ho 0.167 0.500 0.500 [4 per cell]
Er 0.000 0.000 0.500 [2 per cell]

# 7
Below is crystalline RbPuAu2 at its relaxed geometry, with properties calculated at the PBE level.

total magnetization	5.91	μB/f.u.
DFT formation energy	-178.1	meV per atom
total DFT energy (no corrections)	-5.642	eV/atom

abc: 4.3096 4.3096 25.1194
angles: 90.00 90.00 120.00
Space group R-3m (No. 166, hexagonal axes)
One atom of each set of equivalent atoms:
Rb 0.0000 0.0000 0.0000 [3 per cell]
Pu 0.0000 0.0000 0.5000 [3 per cell]
Au 0.0000 0.0000 0.2327 [6 per cell]

# 8
Below is crystalline Rb2AgHg at its relaxed geometry, with properties calculated at the PBE level.

total magnetization	0.00	μB/f.u.
DFT formation energy	107.2	meV per atom
total DFT energy (no corrections)	-1.165	eV/atom

abc: 4.8166 4.8166 35.7623
angles: 90.00 90.00 120.00
Space group R-3m (No. 166, hexagonal axes)
One atom of each set of equivalent atoms:
Rb 0.0000 0.0000 0.1053 [6 per cell]
Ag 0.0000 0.0000 0.5000 [3 per cell]
Hg 0.0000 0.0000 0.0000 [3 per cell]

# 9
Below is crystalline AcH6Pt at its relaxed geometry, with properties calculated at the PBE level.

total magnetization	0.00	μB/f.u.
total DFT energy (no corrections)	-4.207	eV/atom

abc: 4.7524 4.7524 12.4454
angles: 90.00 90.00 120.00
Space group R-3m (No. 166, hexagonal axes)
One atom of each set of equivalent atoms:
Ac 0.0000 0.0000 0.0000 [3 per cell]
H 0.0139 0.5070 0.9067 [18 per cell]
Pt 0.0000 0.0000 0.5000 [3 per cell]

# 10
Below is crystalline CeY2Hg at its relaxed geometry, with properties calculated at the PBE level.

total magnetization	0.54	μB/f.u.
DFT formation energy	-200.5	meV per atom
total DFT energy (no corrections)	-4.991	eV/atom

abc: 3.606 3.606 8.683
angles: 90.00 90.00 90.00
Space group P4/mmm (No. 123)
One atom of each set of equivalent atoms:
Ce 0.000 0.000 0.000 [1 per cell]
Y 0.500 0.500 0.273 [2 per cell]
Hg 0.000 0.000 0.500 [1 per cell]

# 11
Below is crystalline Rb3S2O8 at its relaxed geometry, with properties calculated at the PBE level.

total magnetization	1.12	μB/f.u.
total DFT energy (no corrections)	-5.586	eV/atom
raw formation energy	-1.676	eV per atom

abc: 5.9850 5.9850 22.3866
angles: 90.00 90.00 120.00
Space group R-3m (No. 166, hexagonal axes)
One atom of each set of equivalent atoms:
Rb 0.0000 0.0000 0.0000 [3 per cell]
Rb 0.0000 0.0000 0.2077 [6 per cell]
S 0.0000 0.0000 0.4090 [6 per cell]
O 0.0000 0.0000 0.3423 [6 per cell]
O 0.0608 0.5304 0.2363 [18 per cell]

# 12
Below is crystalline SrCuSbAs2 at its relaxed geometry, with properties calculated at the PBE level.

total magnetization	0.00	μB/f.u.
total DFT energy (no corrections)	-3.826	eV/atom
raw formation energy	0.014	eV per atom

abc: 4.783 4.783 5.507
angles: 90.00 90.00 90.00
Space group P4/mmm (No. 123)
One atom of each set of equivalent atoms:
Sr 0.000 0.000 0.000 [1 per cell]
Cu 0.000 0.000 0.500 [1 per cell]
Sb 0.500 0.500 0.000 [1 per cell]
As 0.000 0.500 0.500 [2 per cell]

# 13
Below is crystalline Sb2As at its relaxed geometry, with properties calculated at the PBE level.

total magnetization	0.00	μB/f.u.
total DFT energy (no corrections)	-4.151	eV/atom
raw formation energy	0.147	eV per atom

abc: 4.0735 4.0735 11.2534
angles: 90.00 90.00 120.00
Space group P6_3/mmc (No. 194)
One atom of each set of equivalent atoms:
Sb 0.3333 0.6667 0.0873 [4 per cell]
As 0.0000 0.0000 0.2500 [2 per cell]

# 14
Below is crystalline Cs2TlNCl6 at its relaxed geometry, with properties calculated at the PBE level.

total magnetization	1.25	μB/f.u.
total DFT energy (no corrections)	-2.965	eV/atom
raw formation energy	-0.617	eV per atom

abc: 7.079 7.079 12.133
angles: 90.00 90.00 90.00
Space group I4/mmm (No. 139)
One atom of each set of equivalent atoms:
Cs 0.000 0.500 0.250 [4 per cell]
Tl 0.000 0.000 0.000 [2 per cell]
N 0.000 0.000 0.500 [2 per cell]
Cl 0.000 0.000 0.222 [4 per cell]
Cl 0.222 0.222 0.500 [8 per cell]

# 15
Below is crystalline Ba2In5Ag12 at its relaxed geometry, with properties calculated at the PBE level.

total magnetization	0.00	μB/f.u.
DFT formation energy	-129.5	meV per atom
total DFT energy (no corrections)	-2.853	eV/atom

abc: 10.1452 10.1452 14.6202
angles: 90.00 90.00 120.00
Space group R-3m (No. 166, hexagonal axes)
One atom of each set of equivalent atoms:
Ba 0.0000 0.0000 0.1541 [6 per cell]
In 0.0000 0.0000 0.4032 [6 per cell]
In 0.0000 0.5000 0.0000 [9 per cell]
Ag 0.0000 0.3003 0.5000 [18 per cell]
Ag 0.0009 0.5004 0.6521 [18 per cell]

# 16
Below is crystalline AlOsRu2 at its relaxed geometry, with properties calculated at the PBE level.

total magnetization	0.55	μB/f.u.
DFT formation energy	-25.4	meV per atom
total DFT energy (no corrections)	-8.406	eV/atom

abc: 4.424 4.424 2.891
angles: 90.00 90.00 90.00
Space group P4/mmm (No. 123)
One atom of each set of equivalent atoms:
Al 0.000 0.000 0.000 [1 per cell]
Os 0.500 0.500 0.000 [1 per cell]
Ru 0.000 0.500 0.500 [2 per cell]

# 17
Below is crystalline HgTe2Au at its relaxed geometry, with properties calculated at the PBE level.

total magnetization	0.00	μB/f.u.
total DFT energy (no corrections)	-2.101	eV/atom
raw formation energy	0.364	eV per atom

abc: 4.734 4.734 9.083
angles: 90.00 90.00 90.00
Space group I4/mmm (No. 139)
One atom of each set of equivalent atoms:
Hg 0.000 0.000 0.000 [2 per cell]
Te 0.000 0.500 0.250 [4 per cell]
Au 0.000 0.000 0.500 [2 per cell]

# 18
Below is crystalline LiCaCl at its relaxed geometry, with properties calculated at the PBE level.

total magnetization	0.00	μB/f.u.
total DFT energy (no corrections)	-2.909	eV/atom
raw formation energy	-0.989	eV per atom

abc: 3.836 6.571 12.928
angles: 90.00 90.00 90.00
Space group Fmm2 (No. 42)
One atom of each set of equivalent atoms:
Li 0.000 0.000 0.000 [4 per cell]
Ca 0.000 0.000 0.291 [4 per cell]
Cl 0.000 0.000 0.627 [4 per cell]

# 19
Below is crystalline Ba3LiSn4 at its relaxed geometry, with properties calculated at the PBE level.

total magnetization	0.00	μB/f.u.
DFT formation energy	-540.5	meV per atom
total DFT energy (no corrections)	-3.502	eV/atom

abc: 6.467 12.776 6.592
angles: 90.00 90.00 90.00
Space group Pmmn (No. 59, origin choice 2)
One atom of each set of equivalent atoms:
Ba 0.250 0.002 0.174 [4 per cell]
Ba 0.250 0.750 0.559 [2 per cell]
Li 0.250 0.250 0.323 [2 per cell]
Sn 0.000 0.250 0.955 [4 per cell]
Sn 0.250 0.108 0.659 [4 per cell]

# 20
Below is crystalline Ni2OsCl at its relaxed geometry, with properties calculated at the PBE level.

total magnetization	0.30	μB/f.u.
total DFT energy (no corrections)	-5.094	eV/atom
raw formation energy	1.065	eV per atom

abc: 3.819 3.819 7.325
angles: 90.00 90.00 90.00
Space group I4/mmm (No. 139)
One atom of each set of equivalent atoms:
Ni 0.000 0.500 0.250 [4 per cell]
Os 0.000 0.000 0.000 [2 per cell]
Cl 0.000 0.000 0.500 [2 per cell]

# 21
Below is crystalline YHoEr2Tm5 at its relaxed geometry, with properties calculated at the PBE level.

total magnetization	0.00	μB/f.u.
DFT formation energy	167.2	meV per atom
total DFT energy (no corrections)	-4.558	eV/atom

abc: 5.529 19.609 10.444
angles: 90.00 90.00 90.00
Space group Cmc2_1 (No. 36)
One atom of each set of equivalent atoms:
Y 0.000 0.087 0.000 [4 per cell]
Ho 0.000 0.300 0.557 [4 per cell]
Er 0.000 0.388 0.863 [4 per cell]
Er 0.000 0.390 0.282 [4 per cell]
Tm 0.000 0.021 0.283 [4 per cell]
Tm 0.000 0.110 0.568 [4 per cell]
Tm 0.000 0.200 0.255 [4 per cell]
Tm 0.000 0.219 0.854 [4 per cell]
Tm 0.000 0.482 0.571 [4 per cell]

# 22
Below is crystalline LiHgN2F at its relaxed geometry, with properties calculated at the PBE level.

total magnetization	4.02	μB/f.u.
total DFT energy (no corrections)	-3.248	eV/atom
raw formation energy	0.900	eV per atom

abc: 4.231 4.231 3.522
angles: 90.00 90.00 90.00
Space group P4/mmm (No. 123)
One atom of each set of equivalent atoms:
Li 0.000 0.000 0.000 [1 per cell]
Hg 0.500 0.500 0.500 [1 per cell]
N 0.000 0.500 0.000 [2 per cell]
F 0.000 0.000 0.500 [1 per cell]